Entry 1:
Crystalline Na2LiIn6 at its relaxed geometry. Source: Alexandria via LeMat-Bulk, functional PBE-GGA.

Properties
Calculated formation energy (eV per atom): -0.109
Total moment (μB/atom): 0.00
SG: P6/mmm (191)
D(E_F) (states/eV/atom): 0.4219
E_tot (eV/cell): -21.97

abc: 8.8194 8.8194 3.4567
angles: 90.00 90.00 120.00
Fractional positions:
1 Na 0.3333 0.6667 0.0000
2 Na 0.6667 0.3333 0.0000
3 Li 0.0000 0.0000 0.0000
4 In 0.0000 0.3299 0.5000
5 In 0.0000 0.6701 0.5000
6 In 0.3299 0.0000 0.5000
7 In 0.3299 0.3299 0.5000
8 In 0.6701 0.0000 0.5000
9 In 0.6701 0.6701 0.5000



Entry 2:
Crystalline K2BaThSe4 at its relaxed geometry. Source: Alexandria via LeMat-Bulk, functional PBE-GGA.

Properties
Total moment (μB/atom): 0.00
SG: P2/m (10)
D(E_F) (states/eV/atom): 0.0000
Formation energy (no corrections) (eV per formula unit): -13.56
E_tot (eV/cell): -39.03

abc: 7.9889 4.5117 8.1074
angles: 90.00 108.71 90.00
Fractional positions:
1 K 0.0000 0.0000 0.0000
2 K 0.5000 0.5000 0.0000
3 Ba 0.0000 0.5000 0.5000
4 Th 0.5000 0.0000 0.5000
5 Se 0.2740 0.0000 0.7166
6 Se 0.2879 0.5000 0.2899
7 Se 0.7121 0.5000 0.7101
8 Se 0.7260 0.0000 0.2834



Entry 3:
Crystalline DyY6Er4 at its relaxed geometry. Source: Alexandria via LeMat-Bulk, functional PBE-GGA.

Properties
Calculated formation energy (eV per atom): 0.161
Total moment (μB/atom): 0.00
SG: P-6m2 (187)
D(E_F) (states/eV/atom): 1.4890
E_tot (eV/cell): -59.87

abc: 10.8637 10.8637 3.5372
angles: 90.00 90.00 120.00
Fractional positions:
1 Dy 0.0000 0.0000 0.0000
2 Y 0.1826 0.3652 0.5000
3 Y 0.1826 0.8174 0.5000
4 Y 0.5204 0.0408 0.0000
5 Y 0.5204 0.4796 0.0000
6 Y 0.6348 0.8174 0.5000
7 Y 0.9592 0.4796 0.0000
8 Er 0.3197 0.1598 0.5000
9 Er 0.3333 0.6667 0.0000
10 Er 0.8402 0.1598 0.5000
11 Er 0.8402 0.6803 0.5000



Entry 4:
Crystalline TlH2Rh2 at its relaxed geometry. Source: Alexandria via LeMat-Bulk, functional PBE-GGA.

Properties
Total moment (μB/atom): 0.00
SG: I4/mmm (139)
D(E_F) (states/eV/atom): 0.3959
E_tot (eV/cell): -23.25

abc: 5.1123 5.1123 5.1123
angles: 135.96 135.96 64.05
Fractional positions:
1 Tl 0.0000 0.0000 0.0000
2 H 0.3005 0.3005 0.0000
3 H 0.6995 0.6995 0.0000
4 Rh 0.2500 0.7500 0.5000
5 Rh 0.7500 0.2500 0.5000



Entry 5:
Crystalline RbNa2Be at its relaxed geometry. Source: Alexandria via LeMat-Bulk, functional PBE-GGA.

Properties
Calculated formation energy (eV per atom): 0.679
Total moment (μB/atom): 0.00
SG: I-42d (122)
D(E_F) (states/eV/atom): 0.8699
E_tot (eV/cell): -9.23

abc: 12.0548 12.0548 12.0548
angles: 155.23 155.23 35.31
Fractional positions:
1 Rb 0.0000 0.0000 0.0000
2 Rb 0.7500 0.2500 0.5000
3 Na 0.1997 0.6250 0.0747
4 Na 0.3750 0.4497 0.5747
5 Na 0.5503 0.1250 0.9253
6 Na 0.8750 0.8003 0.4253
7 Be 0.2500 0.7500 0.5000
8 Be 0.5000 0.5000 0.0000



Entry 6:
Crystalline Tc2Mo3W2 at its relaxed geometry. Source: Alexandria via LeMat-Bulk, functional PBE-GGA.

Properties
Calculated formation energy (eV per atom): 0.040
Total moment (μB/atom): 0.00
SG: R-3m (166)
D(E_F) (states/eV/atom): 0.8737
E_tot (eV/cell): -78.85

abc: 6.8496 6.8496 6.8496
angles: 38.01 38.01 38.01
Fractional positions:
1 Tc 0.0745 0.0745 0.0745
2 Tc 0.9255 0.9255 0.9255
3 Mo 0.3544 0.3544 0.3544
4 Mo 0.5000 0.5000 0.5000
5 Mo 0.6456 0.6456 0.6456
6 W 0.2153 0.2153 0.2153
7 W 0.7847 0.7847 0.7847



Entry 7:
Crystalline RhNO at its relaxed geometry. Source: Alexandria via LeMat-Bulk, functional PBE-GGA.

Properties
Total moment (μB/atom): 0.00
SG: I4/mmm (139)
D(E_F) (states/eV/atom): 0.4162
Formation energy (no corrections) (eV per formula unit): -0.32
E_tot (eV/cell): -41.91

abc: 7.7043 7.7043 7.7043
angles: 156.40 156.40 33.62
Fractional positions:
1 Rh 0.1691 0.1691 0.0000
2 Rh 0.8309 0.8309 0.0000
3 N 0.0390 0.0390 0.0000
4 N 0.9610 0.9610 0.0000
5 O 0.3089 0.3089 0.0000
6 O 0.6911 0.6911 0.0000



Entry 8:
Crystalline Nd2EuS at its relaxed geometry. Source: Alexandria via LeMat-Bulk, functional PBE-GGA.

Properties
Total moment (μB/atom): 1.96
SG: R-3m (166)
D(E_F) (states/eV/atom): 0.9447
Formation energy (no corrections) (eV per formula unit): -3.61
E_tot (eV/cell): -27.55

abc: 10.1274 10.1274 10.1274
angles: 22.47 22.47 22.47
Fractional positions:
1 Nd 0.2232 0.2232 0.2232
2 Nd 0.7768 0.7768 0.7768
3 Eu 0.0000 0.0000 0.0000
4 S 0.5000 0.5000 0.5000



Entry 9:
Crystalline Rb6SeBr4 at its relaxed geometry. Source: Alexandria via LeMat-Bulk, functional PBE-GGA.

Properties
Total moment (μB/atom): 0.02
SG: R-3c (167)
Formation energy (no corrections) (eV per formula unit): -16.24
E_tot (eV/cell): -64.45

abc: 10.0006 10.0006 10.0006
angles: 90.55 90.55 90.55
Fractional positions:
1 Rb 0.0497 0.9311 0.6916
2 Rb 0.0689 0.3084 0.9503
3 Rb 0.1916 0.4311 0.5497
4 Rb 0.3084 0.9503 0.0689
5 Rb 0.4311 0.5497 0.1916
6 Rb 0.4503 0.8084 0.5689
7 Rb 0.5497 0.1916 0.4311
8 Rb 0.5689 0.4503 0.8084
9 Rb 0.6916 0.0497 0.9311
10 Rb 0.8084 0.5689 0.4503
11 Rb 0.9311 0.6916 0.0497
12 Rb 0.9503 0.0689 0.3084
13 Se 0.0000 0.0000 0.0000
14 Se 0.5000 0.5000 0.5000
15 Br 0.1091 0.7500 0.3909
16 Br 0.2500 0.2500 0.2500
17 Br 0.2500 0.6091 0.8909
18 Br 0.3909 0.1091 0.7500
19 Br 0.6091 0.8909 0.2500
20 Br 0.7500 0.3909 0.1091
21 Br 0.7500 0.7500 0.7500
22 Br 0.8909 0.2500 0.6091



Entry 10:
Crystalline ZrTiF2 at its relaxed geometry. Source: Alexandria via LeMat-Bulk, functional PBE-GGA.

Properties
Total moment (μB/atom): 0.36
SG: R-3m (166)
D(E_F) (states/eV/atom): 0.5698
Formation energy (no corrections) (eV per formula unit): -6.84
E_tot (eV/cell): -27.03

abc: 7.7975 7.7975 7.7975
angles: 22.06 22.06 22.06
Fractional positions:
1 Zr 0.0000 0.0000 0.0000
2 Ti 0.5000 0.5000 0.5000
3 F 0.4057 0.4057 0.4057
4 F 0.5943 0.5943 0.5943



Q: Which of these has the highest total moment?
A: Nd2EuS



Q: What is the total moment in the first record?
A: 0.00 μB/atom



Q: Look up the total moment of the first one.
A: 0.00 μB/atom